Compound: TiAgOs2Ru
Source: Alexandria
Functional: PBE
Structure: optimized geometry

Summary:
Energy = -5.929 eV per atom
Space group = P4/mmm
Magnetic moment = 0.0001 μB/atom
Calculated formation energy = 2.57 eV/atom

abc: 4.713 4.713 4.526
angles: 90.00 90.00 90.00
Element x y z (fractional)
Ti  0.000  0.000  0.500
Os  0.000  0.500  0.000
Os  0.500  0.000  0.000
Ru  0.500  0.500  0.500
Ag  0.000  0.000  0.000



Compound: LiYTl
Source: Alexandria
Functional: PBE
Structure: optimized geometry

Summary:
Energy = -3.737 eV per atom
Space group = R3m
Magnetic moment = 0.0000 μB/atom
Calculated formation energy = -0.16 eV/atom
E above lowest polymorph = 146 meV/atom

abc: 4.299 4.299 4.299
angles: 76.49 76.49 76.49
Element x y z (fractional)
Y  0.037  0.037  0.037
Li  0.684  0.684  0.684
Tl  0.392  0.392  0.392



Compound: YGa2SnAu
Source: Alexandria
Functional: PBE
Structure: optimized geometry

Summary:
Energy = -3.155 eV per atom
Space group = P4/mmm
Magnetic moment = 0.0000 μB/atom
Calculated formation energy = 0.80 eV/atom
E above lowest polymorph = 384 meV/atom

abc: 5.491 5.821 5.491
angles: 90.00 90.00 90.00
Element x y z (fractional)
Ga  0.000  0.000  0.500
Ga  0.500  0.000  0.000
Y  0.000  0.000  0.000
Au  0.500  0.500  0.500
Sn  0.000  0.500  0.000



Compound: FeNi2Ru
Source: Alexandria
Functional: PBE
Structure: optimized geometry

Summary:
Energy = -7.247 eV per atom
Space group = I4/mmm
Magnetic moment = 1.0697 μB/atom
Calculated formation energy = 0.08 eV/atom

abc: 4.492 4.492 4.492
angles: 132.70 132.75 69.08
Site moments in Bohr magnetons follow the coordinates.
Element x y z (fractional)
Fe  0.750  0.250  0.500  2.72
Ni  0.500  0.500  0.000  0.53
Ni  0.000  0.000  0.000  0.53
Ru  0.250  0.750  0.500  0.58



Compound: TbPm5Dy2Tm
Source: Alexandria
Functional: PBE
Structure: optimized geometry

Summary:
Energy = -4.528 eV per atom
Space group = Cmc2_1
Magnetic moment = 0.0000 μB/atom
Calculated formation energy = 0.15 eV/atom

abc: 5.646 10.495 10.648
angles: 90.00 90.00 105.60
Element x y z (fractional)
Tm  0.801  0.602  0.511
Tm  0.199  0.398  0.011
Pm  0.720  0.440  0.813
Pm  0.298  0.596  0.707
Pm  0.702  0.404  0.207
Pm  0.983  0.966  0.518
Pm  0.280  0.560  0.313
Pm  0.518  0.036  0.243
Pm  0.385  0.770  0.022
Pm  0.017  0.034  0.018
Pm  0.482  0.964  0.743
Pm  0.615  0.230  0.522
Dy  0.888  0.775  0.237
Dy  0.885  0.770  0.813
Dy  0.112  0.225  0.737
Dy  0.115  0.230  0.313
Tb  0.410  0.819  0.460
Tb  0.590  0.181  0.960



Compound: Tb6NpS8
Source: Alexandria
Functional: PBE
Structure: optimized geometry

Summary:
Energy = -6.857 eV per atom
E_form (uncorrected) = -1.9405 eV per atom
Space group = Fm-3m
Magnetic moment = 0.3372 μB/atom

abc: 7.844 7.844 7.844
angles: 60.00 60.00 60.00
Site moments in Bohr magnetons follow the coordinates.
Element x y z (fractional)
Tb  0.500  0.500  0.000  0.08
Tb  0.000  0.500  0.500  0.08
Tb  0.000  0.000  0.500  0.08
Tb  0.500  0.000  0.500  0.08
Tb  0.000  0.500  0.000  0.08
Tb  0.500  0.000  0.000  0.08
S  0.750  0.750  0.750  0.00
S  0.749  0.251  0.749  -0.02
S  0.749  0.251  0.251  -0.02
S  0.251  0.749  0.749  -0.02
S  0.251  0.251  0.749  -0.02
S  0.251  0.749  0.251  -0.02
S  0.250  0.250  0.250  0.00
S  0.749  0.749  0.251  -0.02
Np  0.000  0.000  0.000  4.00



Compound: Pu6GePt2
Source: Alexandria
Functional: PBE
Structure: optimized geometry

Summary:
Energy = -11.819 eV per atom
Space group = P-62m
Magnetic moment = 3.9963 μB/atom
Calculated formation energy = -0.41 eV/atom
E above lowest polymorph = 0 meV/atom

abc: 4.372 7.677 7.677
angles: 120.00 90.00 90.00
Site moments in Bohr magnetons follow the coordinates.
Element x y z (fractional)
Pu  0.500  0.409  0.409  5.59
Pu  0.500  0.000  0.591  5.59
Pu  0.500  0.591  0.000  5.59
Pu  0.000  0.741  0.741  5.53
Pu  0.000  0.000  0.259  5.53
Pu  0.000  0.259  0.000  5.53
Ge  0.500  0.000  0.000  -0.12
Pt  0.000  0.333  0.667  -0.04
Pt  0.000  0.667  0.333  -0.04



Compound: Pm2CuSnSe5
Source: Alexandria
Functional: PBE
Structure: optimized geometry

Summary:
Energy = -5.043 eV per atom
E_form (uncorrected) = -1.1514 eV per atom
Space group = Cmc2_1
Magnetic moment = 0.0000 μB/atom

abc: 4.028 9.001 12.341
angles: 90.00 90.00 102.93
Element x y z (fractional)
Pm  0.882  0.765  0.183
Pm  0.117  0.234  0.304
Pm  0.883  0.766  0.804
Pm  0.118  0.235  0.683
Cu  0.496  0.992  0.988
Cu  0.504  0.008  0.488
Sn  0.186  0.372  0.997
Sn  0.814  0.628  0.497
Se  0.353  0.706  0.996
Se  0.704  0.407  0.826
Se  0.962  0.925  0.575
Se  0.491  0.983  0.294
Se  0.038  0.075  0.075
Se  0.647  0.294  0.496
Se  0.293  0.587  0.662
Se  0.509  0.017  0.794
Se  0.296  0.593  0.326
Se  0.707  0.413  0.162



Compound: TeAu2Br
Source: Alexandria
Functional: PBE
Structure: optimized geometry

Summary:
Energy = -2.761 eV per atom
E_form (uncorrected) = 0.0813 eV per atom
Space group = Imm2
Magnetic moment = 0.0477 μB/atom
E above lowest polymorph = 113 meV/atom

abc: 6.261 6.261 6.261
angles: 140.42 90.88 102.34
Site moments in Bohr magnetons follow the coordinates.
Element x y z (fractional)
Te  0.171  0.671  0.500  0.09
Br  0.575  0.575  0.000  0.00
Au  0.983  0.983  0.000  0.02
Au  0.771  0.271  0.500  0.00



Compound: NiSe3N
Source: Alexandria
Functional: PBE
Structure: optimized geometry

Summary:
Energy = -4.475 eV per atom
E_form (uncorrected) = 0.4369 eV per atom
Space group = P2_1/c
Magnetic moment = 0.0000 μB/atom
E above lowest polymorph = 0 meV/atom

abc: 5.829 13.020 8.956
angles: 42.11 90.00 90.00
Element x y z (fractional)
Se  0.622  0.019  0.327
Se  0.866  0.827  0.648
Se  0.134  0.173  0.352
Se  0.634  0.827  0.148
Se  0.118  0.662  0.256
Se  0.618  0.338  0.244
Se  0.882  0.338  0.744
Se  0.382  0.662  0.756
Se  0.878  0.019  0.827
Se  0.366  0.173  0.852
Se  0.122  0.981  0.173
Se  0.378  0.981  0.673
N  0.754  0.433  0.503
N  0.246  0.567  0.497
N  0.746  0.433  0.003
N  0.254  0.567  0.997
Ni  0.756  0.075  0.520
Ni  0.744  0.075  0.020
Ni  0.256  0.925  0.980
Ni  0.244  0.925  0.480



Compound: TlVCd3
Source: Alexandria
Functional: PBE
Structure: optimized geometry

Summary:
Energy = -1.799 eV per atom
Space group = Pm-3m
Magnetic moment = 0.8003 μB/atom
Calculated formation energy = 1.05 eV/atom
E above lowest polymorph = 452 meV/atom

abc: 5.516 5.516 5.516
angles: 90.00 90.00 90.00
Site moments in Bohr magnetons follow the coordinates.
Element x y z (fractional)
Tl  0.000  0.000  0.000  -0.03
Cd  0.000  0.000  0.500  -0.01
Cd  0.000  0.500  0.000  -0.01
Cd  0.500  0.000  0.000  -0.01
V  0.500  0.500  0.500  3.16



Compound: ReRh
Source: Alexandria
Functional: PBE
Structure: optimized geometry

Summary:
Energy = -10.010 eV per atom
Space group = P-6m2
Magnetic moment = 0.0000 μB/atom
Calculated formation energy = -0.11 eV/atom
E above lowest polymorph = 66 meV/atom

abc: 2.760 2.760 4.385
angles: 90.00 90.00 120.00
Element x y z (fractional)
Rh  0.333  0.667  0.000
Re  0.667  0.333  0.500



Compound: MoSeCl2
Source: Alexandria
Functional: PBE
Structure: optimized geometry

Summary:
Energy = -4.652 eV per atom
E_form (uncorrected) = -0.1502 eV per atom
Space group = P4mm
Magnetic moment = 0.1191 μB/atom
E above lowest polymorph = 415 meV/atom

abc: 3.034 3.034 8.979
angles: 90.00 90.00 90.00
Site moments in Bohr magnetons follow the coordinates.
Element x y z (fractional)
Mo  0.000  0.000  0.503  0.04
Cl  0.000  0.000  0.993  0.35
Cl  0.500  0.500  0.329  0.00
Se  0.500  0.500  0.675  0.00



Compound: BeAlPt2
Source: Alexandria
Functional: PBE
Structure: optimized geometry

Summary:
Energy = -5.669 eV per atom
Space group = Cm
Magnetic moment = 0.0000 μB/atom
Calculated formation energy = -0.78 eV/atom

abc: 4.763 4.763 4.298
angles: 75.55 75.55 34.87
Element x y z (fractional)
Pt  0.018  0.018  0.922
Pt  0.242  0.242  0.311
Al  0.495  0.495  0.445
Be  0.746  0.746  0.822



Compound: DyY4Se7
Source: Alexandria
Functional: PBE
Structure: optimized geometry

Summary:
Energy = -6.441 eV per atom
E_form (uncorrected) = -1.8706 eV per atom
Space group = Cm
Magnetic moment = 0.0000 μB/atom

abc: 3.975 6.993 12.210
angles: 103.79 90.00 106.51
Element x y z (fractional)
Se  0.742  0.484  0.352
Se  0.500  0.999  0.500
Se  0.340  0.681  0.950
Se  0.040  0.080  0.784
Se  0.960  0.920  0.215
Se  0.259  0.518  0.648
Se  0.660  0.319  0.050
Y  0.300  0.600  0.187
Y  0.000  0.000  0.000
Y  0.700  0.400  0.813
Y  0.113  0.226  0.422
Dy  0.887  0.774  0.578



Compound: Cs12Au6O
Source: Alexandria
Functional: PBE
Structure: optimized geometry

Summary:
Energy = -2.196 eV per atom
E_form (uncorrected) = -0.3614 eV per atom
Space group = R-3
Magnetic moment = 0.0000 μB/atom

abc: 10.241 10.241 10.241
angles: 98.83 98.83 98.83
Element x y z (fractional)
Cs  0.289  0.057  0.982
Cs  0.415  0.820  0.569
Cs  0.569  0.415  0.820
Cs  0.820  0.569  0.415
Cs  0.431  0.585  0.180
Cs  0.982  0.289  0.057
Cs  0.180  0.431  0.585
Cs  0.057  0.982  0.289
Cs  0.018  0.711  0.943
Cs  0.943  0.018  0.711
Cs  0.585  0.180  0.431
Cs  0.711  0.943  0.018
Au  0.633  0.297  0.129
Au  0.129  0.633  0.297
Au  0.297  0.129  0.633
Au  0.703  0.871  0.367
Au  0.871  0.367  0.703
Au  0.367  0.703  0.871
O  0.000  0.000  0.000



Compound: PmSm3Al4
Source: Alexandria
Functional: PBE
Structure: optimized geometry

Summary:
Energy = -4.606 eV per atom
Space group = P4/mmm
Magnetic moment = 0.0000 μB/atom
Calculated formation energy = -0.37 eV/atom

abc: 5.205 7.396 10.411
angles: 90.00 90.00 90.00
Element x y z (fractional)
Al  0.500  0.249  0.500
Al  0.500  0.751  0.000
Al  0.000  0.249  0.250
Al  0.000  0.751  0.250
Al  0.000  0.751  0.750
Al  0.500  0.751  0.500
Al  0.000  0.249  0.750
Al  0.500  0.249  0.000
Sm  0.500  0.500  0.750
Sm  0.000  0.000  0.000
Sm  0.500  0.000  0.250
Sm  0.500  0.500  0.250
Sm  0.500  0.000  0.750
Sm  0.000  0.000  0.500
Pm  0.000  0.500  0.500
Pm  0.000  0.500  0.000



Compound: PrYHoZn
Source: Alexandria
Functional: PBE
Structure: optimized geometry

Summary:
Energy = -4.442 eV per atom
Space group = P4mm
Magnetic moment = 0.0000 μB/atom
Calculated formation energy = -0.17 eV/atom
E above lowest polymorph = 0 meV/atom

abc: 3.591 3.591 8.792
angles: 90.00 90.00 90.00
Element x y z (fractional)
Zn  0.000  0.000  0.568
Pr  0.000  0.000  0.074
Ho  0.500  0.500  0.371
Y  0.500  0.500  0.771



Compound: ThSc2Cr
Source: Alexandria
Functional: PBE
Structure: optimized geometry

Summary:
Energy = -7.246 eV per atom
Space group = P4/mmm
Magnetic moment = 0.6297 μB/atom
Calculated formation energy = 0.18 eV/atom

abc: 3.337 3.337 8.356
angles: 90.00 90.00 90.00
Site moments in Bohr magnetons follow the coordinates.
Element x y z (fractional)
Th  0.500  0.500  0.500  -0.01
Sc  0.000  0.000  0.193  -0.10
Sc  0.000  0.000  0.807  -0.10
Cr  0.500  0.500  0.000  2.59



Compound: Pu5GeRh4
Source: Alexandria
Functional: PBE
Structure: optimized geometry

Summary:
Energy = -10.277 eV per atom
Space group = P4/mmm
Magnetic moment = 0.0007 μB/atom
Calculated formation energy = 0.29 eV/atom

abc: 2.656 2.656 23.291
angles: 90.00 90.00 90.00
Element x y z (fractional)
Rh  0.000  0.000  0.401
Rh  0.000  0.000  0.798
Rh  0.000  0.000  0.599
Rh  0.000  0.000  0.202
Pu  0.500  0.500  0.895
Pu  0.500  0.500  0.302
Pu  0.500  0.500  0.500
Pu  0.500  0.500  0.105
Pu  0.500  0.500  0.698
Ge  0.000  0.000  0.000



Compound: NaNpTl2I6
Source: Alexandria
Functional: PBE
Structure: optimized geometry

Summary:
Energy = -3.689 eV per atom
E_form (uncorrected) = -0.8599 eV per atom
Space group = P2_1/c
Magnetic moment = 0.4000 μB/atom

abc: 8.114 8.863 11.892
angles: 90.00 91.49 90.00
Site moments in Bohr magnetons follow the coordinates.
Element x y z (fractional)
I  0.130  0.463  0.747  -0.02
I  0.870  0.537  0.253  -0.02
I  0.188  0.185  0.060  -0.02
I  0.173  0.198  0.439  -0.02
I  0.370  0.963  0.753  -0.02
I  0.327  0.698  0.061  -0.02
I  0.312  0.685  0.440  -0.02
I  0.812  0.815  0.940  -0.02
I  0.688  0.315  0.560  -0.02
I  0.827  0.802  0.561  -0.02
I  0.673  0.302  0.939  -0.02
I  0.630  0.037  0.247  -0.02
Na  0.500  0.000  0.500  0.00
Na  0.000  0.500  0.000  0.00
Tl  0.461  0.403  0.257  0.00
Tl  0.039  0.903  0.243  0.00
Tl  0.961  0.097  0.757  0.00
Tl  0.539  0.597  0.743  0.00
Np  0.000  0.500  0.500  4.00
Np  0.500  0.000  0.000  4.00



Compound: ScIrI2
Source: Alexandria
Functional: PBE
Structure: optimized geometry

Summary:
Energy = -4.287 eV per atom
E_form (uncorrected) = 0.2866 eV per atom
Space group = Fm-3m
Magnetic moment = 0.0000 μB/atom
E above lowest polymorph = 175 meV/atom

abc: 5.016 5.016 5.016
angles: 60.00 60.00 60.00
Element x y z (fractional)
I  0.250  0.250  0.250
I  0.750  0.750  0.750
Sc  0.000  0.000  0.000
Ir  0.500  0.500  0.500



Compound: Ac3RuCl
Source: Alexandria
Functional: PBE
Structure: optimized geometry

Summary:
Energy = -5.317 eV per atom
E_form (uncorrected) = -0.6279 eV per atom
Space group = Pmmn
Magnetic moment = 0.0000 μB/atom

abc: 4.077 10.379 8.361
angles: 90.00 90.00 90.00
Element x y z (fractional)
Ru  0.750  0.250  0.974
Ru  0.250  0.750  0.026
Ac  0.750  0.750  0.264
Ac  0.250  0.250  0.736
Ac  0.750  0.578  0.829
Ac  0.750  0.922  0.829
Ac  0.250  0.078  0.171
Ac  0.250  0.422  0.171
Cl  0.750  0.250  0.433
Cl  0.250  0.750  0.567